VASP calculation (GGA-PBE) on crystalline CeMgPdPb at its relaxed geometry.

a = 7.227 Å, b = 7.227 Å, c = 7.227 Å
α = 90.00°, β = 90.00°, γ = 90.00°
Space group F-43m (No. 216)
Asymmetric unit:
Ce1 0.000 0.000 0.000 x4
Mg1 0.000 0.000 0.500 x4
Pd1 0.250 0.250 0.250 x4
Pb1 0.250 0.250 0.750 x4

Output
As for the density of states at the Fermi level: 1.5087 states/eV per atom. The calculation puts the total moment at 0.17 μB/atom. The energy of formation comes out at -422 meV/atom. The value obtained for the uncorrected energy is -4.53 eV per atom. The volume is 94 Å³/f.u.

=====

VASP calculation (GGA-PBE) on crystalline DyIn6Pd3 at its relaxed geometry.

a = 8.735 Å, b = 4.610 Å, c = 10.893 Å
α = 90.00°, β = 96.19°, γ = 90.00°
Space group P2_1/m (No. 11)
Asymmetric unit:
Dy1 0.062 0.250 0.267 x2
In1 0.100 0.250 0.586 x2
In2 0.133 0.750 0.014 x2
In3 0.306 0.750 0.749 x2
In4 0.308 0.750 0.262 x2
In5 0.411 0.250 0.438 x2
In6 0.443 0.250 0.912 x2
Pd1 0.128 0.250 0.851 x2
Pd2 0.231 0.750 0.496 x2
Pd3 0.382 0.250 0.152 x2

Output
As for the density of states at the Fermi level: 0.4696 states/eV per atom. The calculation puts the total moment at 0.00 μB/atom. The energy of formation comes out at -433 meV/atom. The value obtained for the uncorrected energy is -4.09 eV per atom. The volume is 218 Å³/f.u.

=====

VASP calculation (GGA-PBE) on crystalline ZnHgIO2 at its relaxed geometry.

a = 4.125 Å, b = 4.125 Å, c = 7.063 Å
α = 90.00°, β = 90.00°, γ = 90.00°
Space group P4/mmm (No. 123)
Asymmetric unit:
Zn1 0.000 0.000 0.000 x1
Hg1 0.500 0.500 0.500 x1
I1 0.500 0.500 0.000 x1
O1 0.000 0.500 0.500 x2

Output
As for the density of states at the Fermi level: 1.3959 states/eV per atom. The calculation puts the total moment at 0.01 μB/atom. The value obtained for the uncorrected energy is -2.23 eV per atom. The volume is 120 Å³/f.u. The raw formation energy comes out at 0.377 eV/atom.

=====

VASP calculation (GGA-PBE) on crystalline RbTbFe2I8 at its relaxed geometry.

a = 12.262 Å, b = 8.440 Å, c = 10.757 Å
α = 90.00°, β = 95.30°, γ = 90.00°
Space group C2/m (No. 12)
Asymmetric unit:
Rb1 0.000 0.000 0.000 x2
Tb1 0.000 0.000 0.500 x2
Fe1 0.123 0.500 0.287 x4
I1 0.014 0.252 0.707 x8
I2 0.200 0.500 0.074 x4
I3 0.248 0.000 0.504 x4

Output
As for the density of states at the Fermi level: 1.0487 states/eV per atom. The calculation puts the total moment at 0.67 μB/atom. The value obtained for the uncorrected energy is -3.63 eV per atom. The volume is 554 Å³/f.u. The raw formation energy comes out at -0.717 eV/atom.

=====

Which value of uncorrected energy does entry 4 give?
-3.63 eV per atom